1.
# TbPm2Nd2Y2

An optimized crystal structure of TbPm2Nd2Y2 (GGA-PBE, Alexandria).

Summary:
Crystal system: trigonal
E_tot: -5.1026 eV per atom
Formation energy: 0.1253 eV per atom
Magnetization: 0.00 μB per formula unit

Cell and atoms, written as CIF:
```
data_TbPm2Nd2Y2
_space_group_name_H-M_alt 'R -3 m'
_space_group_IT_number 166
_space_group_name_Hall '-R 3 2"'
_cell_length_a 5.7754
_cell_length_b 5.7754
_cell_length_c 24.6305
_cell_angle_alpha 90.00
_cell_angle_beta 90.00
_cell_angle_gamma 120.00
loop_
_atom_site_label
_atom_site_type_symbol
_atom_site_fract_x
_atom_site_fract_y
_atom_site_fract_z
Tb1 Tb 0.0000 0.0000 0.0000
Pm1 Pm 0.0000 0.0000 0.2818
Nd1 Nd 0.0000 0.0000 0.1391
Y1 Y 0.0000 0.0000 0.4270
```

***

2.
# Tb3PmNdY

An optimized crystal structure of Tb3PmNdY (GGA-PBE, Alexandria).

Summary:
Crystal system: orthorhombic
E_tot: -4.8643 eV per atom
Formation energy: 0.1145 eV per atom
Magnetization: 0.00 μB per formula unit

Cell and atoms, written as CIF:
```
data_Tb3PmNdY
_space_group_name_H-M_alt 'C m c m'
_space_group_IT_number 63
_space_group_name_Hall '-C 2c 2'
_cell_length_a 5.967
_cell_length_b 11.147
_cell_length_c 11.947
_cell_angle_alpha 90.00
_cell_angle_beta 90.00
_cell_angle_gamma 90.00
loop_
_atom_site_label
_atom_site_type_symbol
_atom_site_fract_x
_atom_site_fract_y
_atom_site_fract_z
Tb1 Tb 0.000 0.171 0.000
Tb2 Tb 0.000 0.329 0.250
Pm1 Pm 0.000 0.000 0.250
Nd1 Nd 0.000 0.500 0.000
Y1 Y 0.000 0.329 0.750
```